Record 1
# Ce3Ho2TmTe6 PBE relaxed
# space group: C2/m
# magnetic moment: 0.30 μB per atom
# uncorrected formation energy: -1.31 eV/atom
data_Ce3Ho2TmTe6
_chemical_formula_sum 'Ce3 Ho2 Tm1 Te6'
_cell_length_a 7.549
_cell_length_b 7.549
_cell_length_c 7.783
_cell_angle_alpha 99.29
_cell_angle_beta 99.29
_cell_angle_gamma 120.10
_space_group_name_H-M_alt 'P 1'
_space_group_IT_number 1
loop_
_space_group_symop_operation_xyz
'x,y,z'
loop_
_atom_site_label
_atom_site_fract_x
_atom_site_fract_y
_atom_site_fract_z
Te1 0.410 0.078 0.235
Ho1 0.334 0.666 0.000
Ce1 0.168 0.832 0.500
Tm1 0.000 0.000 0.000
Te2 0.922 0.590 0.765
Te3 0.078 0.410 0.235
Te4 0.748 0.748 0.237
Ho2 0.666 0.334 0.000
Te5 0.590 0.922 0.765
Ce2 0.500 0.500 0.500
Ce3 0.832 0.168 0.500
Te6 0.252 0.252 0.763

***

Record 2
# Ce2Ho3TmTe6 PBE relaxed
# space group: C2/m
# magnetic moment: 0.21 μB per atom
# uncorrected formation energy: -1.28 eV/atom
data_Ce2Ho3TmTe6
_chemical_formula_sum 'Ce2 Ho3 Tm1 Te6'
_cell_length_a 4.342
_cell_length_b 8.848
_cell_length_c 9.822
_cell_angle_alpha 103.71
_cell_angle_beta 102.77
_cell_angle_gamma 90.00
_space_group_name_H-M_alt 'P 1'
_space_group_IT_number 1
loop_
_space_group_symop_operation_xyz
'x,y,z'
loop_
_atom_site_label
_atom_site_fract_x
_atom_site_fract_y
_atom_site_fract_z
Ho1 0.500 0.500 0.000
Te1 0.337 0.409 0.674
Te2 0.004 0.755 0.008
Ce1 0.832 0.663 0.663
Te3 0.663 0.591 0.326
Te4 0.996 0.245 0.992
Te5 0.664 0.074 0.328
Ho2 0.170 0.835 0.340
Ce2 0.168 0.337 0.337
Te6 0.336 0.926 0.672
Ho3 0.830 0.165 0.660
Tm1 0.500 0.000 0.000

***

Record 3
# CeY2Ho3Te6 PBE relaxed
# space group: C2/m
# magnetic moment: 0.11 μB per atom
# uncorrected formation energy: -1.29 eV/atom
data_CeY2Ho3Te6
_chemical_formula_sum 'Ce1 Y2 Ho3 Te6'
_cell_length_a 4.342
_cell_length_b 8.809
_cell_length_c 9.789
_cell_angle_alpha 103.33
_cell_angle_beta 102.81
_cell_angle_gamma 90.00
_space_group_name_H-M_alt 'P 1'
_space_group_IT_number 1
loop_
_space_group_symop_operation_xyz
'x,y,z'
loop_
_atom_site_label
_atom_site_fract_x
_atom_site_fract_y
_atom_site_fract_z
Ho1 0.164 0.833 0.328
Ce1 0.500 0.000 0.000
Y1 0.163 0.328 0.327
Y2 0.837 0.672 0.673
Te1 0.001 0.741 0.001
Te2 0.999 0.259 0.999
Te3 0.671 0.083 0.342
Te4 0.329 0.917 0.658
Te5 0.668 0.584 0.335
Te6 0.332 0.416 0.665
Ho2 0.500 0.500 0.000
Ho3 0.836 0.167 0.672

***

Record 4
# Ce4YHo3Te8 PBE relaxed
# space group: R-3m
# magnetic moment: 0.32 μB per atom
# uncorrected formation energy: -1.33 eV/atom
data_Ce4YHo3Te8
_chemical_formula_sum 'Ce4 Y1 Ho3 Te8'
_cell_length_a 8.751
_cell_length_b 8.922
_cell_length_c 8.751
_cell_angle_alpha 119.38
_cell_angle_beta 120.00
_cell_angle_gamma 90.00
_space_group_name_H-M_alt 'P 1'
_space_group_IT_number 1
loop_
_space_group_symop_operation_xyz
'x,y,z'
loop_
_atom_site_label
_atom_site_fract_x
_atom_site_fract_y
_atom_site_fract_z
Ce1 0.000 0.000 0.500
Te1 0.746 0.737 0.491
Te2 0.754 0.262 0.507
Te3 0.246 0.738 0.991
Te4 0.745 0.738 0.991
Ho1 0.500 0.500 0.500
Ce2 0.000 0.000 0.000
Te5 0.246 0.738 0.493
Te6 0.254 0.263 0.509
Ho2 0.000 0.500 0.500
Te7 0.255 0.262 0.009
Ce3 0.500 0.000 0.000
Te8 0.754 0.262 0.009
Y1 0.000 0.500 0.000
Ho3 0.500 0.500 0.000
Ce4 0.500 0.000 0.500

***

Record 5
# Ce3YHo2Te6 PBE relaxed
# space group: C2/m
# magnetic moment: 0.30 μB per atom
# uncorrected formation energy: -1.33 eV/atom
data_Ce3YHo2Te6
_chemical_formula_sum 'Ce3 Y1 Ho2 Te6'
_cell_length_a 7.579
_cell_length_b 7.579
_cell_length_c 7.783
_cell_angle_alpha 99.33
_cell_angle_beta 99.33
_cell_angle_gamma 120.10
_space_group_name_H-M_alt 'P 1'
_space_group_IT_number 1
loop_
_space_group_symop_operation_xyz
'x,y,z'
loop_
_atom_site_label
_atom_site_fract_x
_atom_site_fract_y
_atom_site_fract_z
Te1 0.256 0.256 0.763
Ho1 0.333 0.667 0.000
Te2 0.414 0.080 0.238
Ce1 0.500 0.500 0.500
Ce2 0.834 0.166 0.500
Y1 0.000 0.000 0.000
Te3 0.586 0.920 0.762
Ce3 0.166 0.834 0.500
Te4 0.080 0.414 0.238
Ho2 0.667 0.333 0.000
Te5 0.920 0.586 0.762
Te6 0.744 0.744 0.237

***

Record 6
# Ce6HoTh2 PBE relaxed
# space group: P-3
# formation energy: 0.18 eV/atom
# magnetic moment: 0.00 μB per atom
data_Ce6HoTh2
_chemical_formula_sum 'Ce6 Ho1 Th2'
_cell_length_a 3.398
_cell_length_b 9.541
_cell_length_c 9.541
_cell_angle_alpha 120.00
_cell_angle_beta 90.00
_cell_angle_gamma 90.00
_space_group_name_H-M_alt 'P 1'
_space_group_IT_number 1
loop_
_space_group_symop_operation_xyz
'x,y,z'
loop_
_atom_site_label
_atom_site_fract_x
_atom_site_fract_y
_atom_site_fract_z
Ce1 0.778 0.674 0.022
Ce2 0.222 0.326 0.978
Ce3 0.778 0.978 0.652
Ce4 0.778 0.348 0.326
Ho1 0.500 0.000 0.000
Th1 0.271 0.667 0.333
Th2 0.729 0.333 0.667
Ce5 0.222 0.022 0.348
Ce6 0.222 0.652 0.674

***

Record 7
# Ce2HoTh9 PBE relaxed
# space group: P4/mmm
# formation energy: 0.03 eV/atom
# magnetic moment: 0.00 μB per atom
data_Ce2HoTh9
_chemical_formula_sum 'Ce2 Ho1 Th9'
_cell_length_a 4.992
_cell_length_b 4.992
_cell_length_c 15.050
_cell_angle_alpha 90.00
_cell_angle_beta 90.00
_cell_angle_gamma 90.00
_space_group_name_H-M_alt 'P 1'
_space_group_IT_number 1
loop_
_space_group_symop_operation_xyz
'x,y,z'
loop_
_atom_site_label
_atom_site_fract_x
_atom_site_fract_y
_atom_site_fract_z
Ce1 0.000 0.000 0.666
Ce2 0.000 0.000 0.334
Ho1 0.000 0.000 0.000
Th1 0.500 0.500 0.336
Th2 0.500 0.500 0.664
Th3 0.000 0.500 0.830
Th4 0.500 0.500 0.000
Th5 0.000 0.500 0.500
Th6 0.000 0.500 0.170
Th7 0.500 0.000 0.170
Th8 0.500 0.000 0.500
Th9 0.500 0.000 0.830

***

Record 8
# Ce5HoTh4 PBE relaxed
# space group: P4/mmm
# formation energy: 0.03 eV/atom
# magnetic moment: 0.00 μB per atom
data_Ce5HoTh4
_chemical_formula_sum 'Ce5 Ho1 Th4'
_cell_length_a 3.483
_cell_length_b 3.483
_cell_length_c 24.436
_cell_angle_alpha 90.00
_cell_angle_beta 90.00
_cell_angle_gamma 90.00
_space_group_name_H-M_alt 'P 1'
_space_group_IT_number 1
loop_
_space_group_symop_operation_xyz
'x,y,z'
loop_
_atom_site_label
_atom_site_fract_x
_atom_site_fract_y
_atom_site_fract_z
Ho1 0.000 0.000 0.000
Ce1 0.500 0.500 0.103
Ce2 0.500 0.500 0.500
Ce3 0.500 0.500 0.897
Ce4 0.500 0.500 0.301
Th1 0.000 0.000 0.798
Th2 0.000 0.000 0.401
Th3 0.000 0.000 0.202
Th4 0.000 0.000 0.599
Ce5 0.500 0.500 0.699

***

Record 9
# Ce12HoTh7 PBE relaxed
# space group: Im-3
# formation energy: 0.82 eV/atom
# magnetic moment: 0.66 μB per atom
data_Ce12HoTh7
_chemical_formula_sum 'Ce12 Ho1 Th7'
_cell_length_a 9.583
_cell_length_b 9.583
_cell_length_c 9.583
_cell_angle_alpha 109.47
_cell_angle_beta 109.47
_cell_angle_gamma 109.47
_space_group_name_H-M_alt 'P 1'
_space_group_IT_number 1
loop_
_space_group_symop_operation_xyz
'x,y,z'
loop_
_atom_site_label
_atom_site_fract_x
_atom_site_fract_y
_atom_site_fract_z
Ce1 0.700 0.794 0.494
Ce2 0.300 0.794 0.094
Ce3 0.794 0.094 0.300
Th1 0.000 0.500 0.500
Ce4 0.494 0.700 0.794
Ce5 0.794 0.494 0.700
Ce6 0.906 0.700 0.206
Ce7 0.094 0.300 0.794
Th2 0.500 0.500 0.500
Ce8 0.206 0.906 0.700
Ce9 0.700 0.206 0.906
Th3 0.500 0.000 0.000
Ce10 0.506 0.300 0.206
Th4 0.000 0.500 0.000
Th5 0.000 0.000 0.500
Ce11 0.300 0.206 0.506
Ce12 0.206 0.506 0.300
Th6 0.500 0.500 0.000
Th7 0.500 0.000 0.500
Ho1 0.000 0.000 0.000

***

Record 10
# CeHo2Th6 PBE relaxed
# space group: C222
# formation energy: 0.14 eV/atom
# magnetic moment: 0.00 μB per atom
data_CeHo2Th6
_chemical_formula_sum 'Ce1 Ho2 Th6'
_cell_length_a 6.123
_cell_length_b 6.142
_cell_length_c 8.721
_cell_angle_alpha 90.00
_cell_angle_beta 90.00
_cell_angle_gamma 119.90
_space_group_name_H-M_alt 'P 1'
_space_group_IT_number 1
loop_
_space_group_symop_operation_xyz
'x,y,z'
loop_
_atom_site_label
_atom_site_fract_x
_atom_site_fract_y
_atom_site_fract_z
Ho1 0.000 0.500 0.666
Th1 0.833 0.665 0.000
Ho2 0.500 0.500 0.334
Ce1 0.500 0.000 0.000
Th2 0.659 0.835 0.670
Th3 0.167 0.335 0.000
Th4 0.824 0.165 0.330
Th5 0.176 0.835 0.330
Th6 0.341 0.165 0.670

***

Record 11
# CeHoTh2 PBE relaxed
# space group: Amm2
# formation energy: 0.14 eV/atom
# excess energy over the best structure of this formula in the dataset: 0.115 eV/atom
# magnetic moment: 0.00 μB per atom
data_CeHoTh2
_chemical_formula_sum 'Ce1 Ho1 Th2'
_cell_length_a 3.461
_cell_length_b 3.449
_cell_length_c 10.711
_cell_angle_alpha 99.27
_cell_angle_beta 90.00
_cell_angle_gamma 90.00
_space_group_name_H-M_alt 'P 1'
_space_group_IT_number 1
loop_
_space_group_symop_operation_xyz
'x,y,z'
loop_
_atom_site_label
_atom_site_fract_x
_atom_site_fract_y
_atom_site_fract_z
Ho1 0.000 0.308 0.616
Ce1 0.000 0.073 0.147
Th1 0.500 0.454 0.908
Th2 0.500 0.690 0.380

***

Record 12
# CeHo3Th2 PBE relaxed
# space group: C2/m
# formation energy: 0.06 eV/atom
# magnetic moment: 0.03 μB per atom
data_CeHo3Th2
_chemical_formula_sum 'Ce2 Ho6 Th4'
_cell_length_a 3.546
_cell_length_b 10.970
_cell_length_c 11.035
_cell_angle_alpha 63.12
_cell_angle_beta 80.75
_cell_angle_gamma 80.70
_space_group_name_H-M_alt 'P 1'
_space_group_IT_number 1
loop_
_space_group_symop_operation_xyz
'x,y,z'
loop_
_atom_site_label
_atom_site_fract_x
_atom_site_fract_y
_atom_site_fract_z
Th1 0.719 0.658 0.904
Th2 0.281 0.342 0.096
Ho1 0.056 0.321 0.568
Ce1 0.394 0.982 0.230
Th3 0.054 0.818 0.074
Ho2 0.944 0.679 0.432
Ce2 0.606 0.018 0.770
Ho3 0.613 0.509 0.266
Th4 0.946 0.182 0.926
Ho4 0.387 0.491 0.734
Ho5 0.277 0.850 0.597
Ho6 0.723 0.150 0.403